1.
VASP calculation (PBE-GGA) on a relaxed Zr2TiHg4 crystal.

Fermi-level density of states in states/eV/f.u.: 7.05
SG: P2_1/c
DFT total energy in eV per formula unit: -25.6

a = 5.824 Å, b = 9.430 Å, c = 5.772 Å
α = 90.00°, β = 100.62°, γ = 90.00°
Fractional coordinates of all 14 atoms:
Zr 0.246 0.036 0.053
Zr 0.246 0.464 0.553
Zr 0.754 0.536 0.447
Zr 0.754 0.964 0.947
Ti 0.000 0.000 0.500
Ti 0.000 0.500 0.000
Hg 0.108 0.744 0.268
Hg 0.108 0.756 0.768
Hg 0.420 0.148 0.584
Hg 0.420 0.352 0.084
Hg 0.580 0.648 0.916
Hg 0.580 0.852 0.416
Hg 0.892 0.244 0.232
Hg 0.892 0.256 0.732

2.
VASP calculation (PBE-GGA) on a relaxed SbPWI2 crystal.

Fermi-level density of states in states/eV/f.u.: 5.96
SG: P4/mmm
DFT total energy in eV per formula unit: -19.7
Uncorrected formation energy in eV/atom: 1.1810

a = 5.428 Å, b = 5.428 Å, c = 5.370 Å
α = 90.00°, β = 90.00°, γ = 90.00°
Fractional coordinates of all 5 atoms:
Sb 0.000 0.000 0.000
P 0.500 0.500 0.000
W 0.000 0.000 0.500
I 0.000 0.500 0.500
I 0.500 0.000 0.500

3.
VASP calculation (PBE-GGA) on a relaxed PuHfTcRu crystal.

Fermi-level density of states in states/eV/f.u.: 4.32
SG: F-43m
DFT total energy in eV per formula unit: -45.2

a = 6.615 Å, b = 6.615 Å, c = 6.615 Å
α = 90.00°, β = 90.00°, γ = 90.00°
Fractional coordinates of all 16 atoms:
Pu 0.000 0.000 0.000
Pu 0.000 0.500 0.500
Pu 0.500 0.000 0.500
Pu 0.500 0.500 0.000
Hf 0.000 0.000 0.500
Hf 0.000 0.500 0.000
Hf 0.500 0.000 0.000
Hf 0.500 0.500 0.500
Tc 0.250 0.250 0.250
Tc 0.250 0.750 0.750
Tc 0.750 0.250 0.750
Tc 0.750 0.750 0.250
Ru 0.250 0.250 0.750
Ru 0.250 0.750 0.250
Ru 0.750 0.250 0.250
Ru 0.750 0.750 0.750

4.
VASP calculation (PBE-GGA) on a relaxed Pu3Tl2Hg crystal.

Fermi-level density of states in states/eV/f.u.: 18.41
SG: P4/mmm
DFT total energy in eV per formula unit: -48.4

a = 3.278 Å, b = 3.278 Å, c = 14.594 Å
α = 90.00°, β = 90.00°, γ = 90.00°
Fractional coordinates of all 6 atoms:
Pu 0.000 0.000 0.000
Pu 0.000 0.000 0.339
Pu 0.000 0.000 0.661
Tl 0.500 0.500 0.170
Tl 0.500 0.500 0.830
Hg 0.500 0.500 0.500

> What is the DFT total energy in the fourth record?

-48.4 eV per formula unit